No. 1
The following is a DFT calculation (PBE-GGA) of a geometry-optimized Ca2Al5Cu3 structure.

abc: 4.282 4.282 10.425
angles: 90.00 90.00 90.00
Positions (direct):
Ca: 0.500 0.000 0.264
Ca: 0.000 0.500 0.736
Al: 0.500 0.500 0.000
Al: 0.000 0.000 0.000
Al: 0.500 0.000 0.844
Al: 0.000 0.500 0.156
Al: 0.500 0.500 0.500
Cu: 0.500 0.000 0.615
Cu: 0.000 0.500 0.385
Cu: 0.000 0.000 0.500

Results
The energy above the most stable polymorph in this dataset comes out at 55 meV/atom. For the density of states at the Fermi level, the calculation gives 3.64 states/eV per cell. Its crystal system is tetragonal.

No. 2
The following is a DFT calculation (PBE-GGA) of a geometry-optimized CaAl6Cu4 structure.

abc: 6.399 6.399 6.399
angles: 89.50 120.29 120.29
Positions (direct):
Ca: 0.000 0.000 0.000
Al: 0.000 0.896 0.508
Al: 0.000 0.508 0.896
Al: 0.612 0.104 0.104
Al: 0.500 0.000 0.500
Al: 0.388 0.492 0.492
Al: 0.500 0.500 0.000
Cu: 0.000 0.258 0.584
Cu: 0.673 0.416 0.416
Cu: 0.000 0.584 0.258
Cu: 0.327 0.742 0.742

Results
The energy above the most stable polymorph in this dataset comes out at 88 meV/atom. For the density of states at the Fermi level, the calculation gives 3.43 states/eV per cell. Its crystal system is tetragonal.

No. 3
The following is a DFT calculation (PBE-GGA) of a geometry-optimized Ca3Al3Cu structure.

abc: 4.064 6.116 14.973
angles: 83.46 82.20 70.59
Positions (direct):
Ca: 0.507 0.373 0.614
Ca: 0.493 0.627 0.386
Ca: 0.255 0.254 0.235
Ca: 0.745 0.746 0.765
Ca: 0.380 0.317 0.922
Ca: 0.620 0.683 0.078
Al: 0.810 0.842 0.537
Al: 0.190 0.158 0.463
Al: 0.096 0.886 0.923
Al: 0.904 0.114 0.077
Al: 0.968 0.832 0.233
Al: 0.032 0.168 0.767
Cu: 0.789 0.045 0.377
Cu: 0.211 0.955 0.623

Results
For the density of states at the Fermi level, the calculation gives 9.49 states/eV per cell. Its crystal system is monoclinic.

No. 4
The following is a DFT calculation (PBE-GGA) of a geometry-optimized CaAl3Cu structure.

abc: 4.076 8.243 11.132
angles: 90.00 90.00 90.00
Positions (direct):
Ca: 0.750 0.820 0.002
Ca: 0.250 0.680 0.502
Ca: 0.750 0.320 0.498
Ca: 0.250 0.180 0.998
Al: 0.250 0.561 0.090
Al: 0.750 0.439 0.910
Al: 0.250 0.061 0.410
Al: 0.750 0.939 0.590
Al: 0.250 0.393 0.721
Al: 0.750 0.107 0.221
Al: 0.250 0.893 0.779
Al: 0.750 0.646 0.721
Al: 0.250 0.354 0.279
Al: 0.750 0.146 0.779
Al: 0.750 0.607 0.279
Al: 0.250 0.854 0.221
Cu: 0.250 0.116 0.634
Cu: 0.250 0.616 0.866
Cu: 0.750 0.384 0.134
Cu: 0.750 0.884 0.366

Results
For the density of states at the Fermi level, the calculation gives 9.84 states/eV per cell. Its crystal system is orthorhombic.

No. 5
The following is a DFT calculation (PBE-GGA) of a geometry-optimized Ca2Al9Cu6 structure.

abc: 5.394 5.394 12.211
angles: 90.00 90.00 120.00
Positions (direct):
Ca: 0.000 0.000 0.665
Ca: 0.000 0.000 0.335
Al: 0.500 0.000 0.837
Al: 0.000 0.500 0.837
Al: 0.500 0.500 0.837
Al: 0.500 0.000 0.163
Al: 0.000 0.500 0.163
Al: 0.500 0.500 0.163
Al: 0.500 0.000 0.500
Al: 0.000 0.500 0.500
Al: 0.500 0.500 0.500
Cu: 0.333 0.667 0.000
Cu: 0.667 0.333 0.000
Cu: 0.333 0.667 0.668
Cu: 0.667 0.333 0.668
Cu: 0.667 0.333 0.332
Cu: 0.333 0.667 0.332

Results
For the density of states at the Fermi level, the calculation gives 6.40 states/eV per cell. Its crystal system is hexagonal.

No. 6
The following is a DFT calculation (PBE-GGA) of a geometry-optimized CaAl4Cu structure.

abc: 5.456 5.456 5.456
angles: 60.00 60.00 60.00
Positions (direct):
Ca: 0.750 0.750 0.750
Al: 0.874 0.375 0.375
Al: 0.375 0.375 0.874
Al: 0.375 0.874 0.375
Al: 0.375 0.375 0.375
Cu: 0.000 0.000 0.000

Results
For the density of states at the Fermi level, the calculation gives 4.12 states/eV per cell. Its crystal system is cubic.

No. 7
The following is a DFT calculation (PBE-GGA) of a geometry-optimized CaAl2Cu structure.

abc: 3.051 3.051 7.820
angles: 90.00 90.00 90.00
Positions (direct):
Ca: 0.500 0.500 0.250
Al: 0.000 0.000 0.945
Al: 0.000 0.000 0.555
Cu: 0.500 0.500 0.750

Results
For the density of states at the Fermi level, the calculation gives 0.69 states/eV per cell. Its crystal system is tetragonal.

No. 8
The following is a DFT calculation (PBE-GGA) of a geometry-optimized Ca2AlCu3 structure.

abc: 5.484 5.484 8.540
angles: 90.00 90.00 120.00
Positions (direct):
Ca: 0.667 0.333 0.442
Ca: 0.333 0.667 0.558
Ca: 0.333 0.667 0.942
Ca: 0.667 0.333 0.058
Al: 0.000 0.000 0.500
Al: 0.000 0.000 0.000
Cu: 0.165 0.330 0.250
Cu: 0.330 0.165 0.750
Cu: 0.835 0.670 0.750
Cu: 0.165 0.835 0.250
Cu: 0.835 0.165 0.750
Cu: 0.670 0.835 0.250

Results
For the density of states at the Fermi level, the calculation gives 5.95 states/eV per cell. Its crystal system is hexagonal.

No. 9
The following is a DFT calculation (PBE-GGA) of a geometry-optimized CaAl2Cu structure.

abc: 5.740 5.740 5.740
angles: 149.15 126.76 62.81
Positions (direct):
Ca: 0.250 0.750 0.500
Al: 0.962 0.962 0.000
Al: 0.538 0.538 0.000
Cu: 0.750 0.250 0.500

Results
For the density of states at the Fermi level, the calculation gives 1.41 states/eV per cell. Its crystal system is orthorhombic.

No. 10
The following is a DFT calculation (PBE-GGA) of a geometry-optimized Ca2Al5Cu3 structure.

abc: 4.246 6.761 12.667
angles: 90.00 99.65 90.00
Positions (direct):
Ca: 0.482 0.768 0.963
Ca: 0.176 0.719 0.353
Ca: 0.824 0.219 0.647
Ca: 0.518 0.268 0.037
Al: 0.399 0.416 0.797
Al: 0.290 0.512 0.580
Al: 0.710 0.012 0.420
Al: 0.127 0.252 0.254
Al: 0.292 0.905 0.584
Al: 0.943 0.092 0.885
Al: 0.708 0.405 0.416
Al: 0.873 0.752 0.746
Al: 0.057 0.592 0.115
Al: 0.601 0.916 0.203
Cu: 0.772 0.706 0.544
Cu: 0.611 0.517 0.222
Cu: 0.051 0.979 0.103
Cu: 0.228 0.206 0.456
Cu: 0.949 0.479 0.897
Cu: 0.389 0.017 0.778

Results
The energy above the most stable polymorph in this dataset comes out at 0 meV/atom. For the density of states at the Fermi level, the calculation gives 8.43 states/eV per cell. Its crystal system is orthorhombic.

No. 11
The following is a DFT calculation (PBE-GGA) of a geometry-optimized Ca2AlCu2 structure.

abc: 3.472 3.472 9.598
angles: 79.58 79.58 90.00
Positions (direct):
Ca: 0.385 0.385 0.231
Ca: 0.615 0.615 0.769
Al: 0.000 0.000 0.000
Cu: 0.750 0.250 0.500
Cu: 0.250 0.750 0.500

Results
For the density of states at the Fermi level, the calculation gives 2.96 states/eV per cell. Its crystal system is tetragonal.

No. 12
The following is a DFT calculation (PBE-GGA) of a geometry-optimized Ca3Al2Cu3 structure.

abc: 6.229 7.664 14.819
angles: 90.00 90.00 90.00
Positions (direct):
Ca: 0.146 0.501 0.395
Ca: 0.646 0.999 0.605
Ca: 0.854 0.499 0.895
Ca: 0.354 0.001 0.105
Ca: 0.854 0.499 0.605
Ca: 0.354 0.001 0.395
Ca: 0.146 0.501 0.105
Ca: 0.646 0.999 0.895
Ca: 0.613 0.358 0.250
Ca: 0.113 0.142 0.750
Ca: 0.387 0.642 0.750
Ca: 0.887 0.858 0.250
Al: 0.861 0.156 0.403
Al: 0.361 0.344 0.597
Al: 0.139 0.844 0.903
Al: 0.639 0.656 0.097
Al: 0.139 0.844 0.597
Al: 0.639 0.656 0.403
Al: 0.861 0.156 0.097
Al: 0.361 0.344 0.903
Cu: 0.065 0.210 0.250
Cu: 0.565 0.290 0.750
Cu: 0.935 0.790 0.750
Cu: 0.435 0.710 0.250
Cu: 0.583 0.353 0.459
Cu: 0.083 0.147 0.541
Cu: 0.417 0.647 0.959
Cu: 0.917 0.853 0.041
Cu: 0.417 0.647 0.541
Cu: 0.917 0.853 0.459
Cu: 0.583 0.353 0.041
Cu: 0.083 0.147 0.959

Results
For the density of states at the Fermi level, the calculation gives 17.87 states/eV per cell. Its crystal system is orthorhombic.

No. 13
The following is a DFT calculation (PBE-GGA) of a geometry-optimized CaAl2Cu structure.

abc: 4.351 3.537 5.441
angles: 76.01 90.00 90.00
Positions (direct):
Ca: 0.500 0.250 0.250
Al: 0.000 0.891 0.952
Al: 0.000 0.609 0.548
Cu: 0.500 0.750 0.750

Results
For the density of states at the Fermi level, the calculation gives 1.60 states/eV per cell. Its crystal system is monoclinic.

No. 14
The following is a DFT calculation (PBE-GGA) of a geometry-optimized Ca2Al5Cu4 structure.

abc: 5.415 5.510 8.167
angles: 80.63 70.64 60.57
Positions (direct):
Ca: 0.866 0.000 0.267
Ca: 0.134 0.000 0.733
Al: 0.500 0.000 0.000
Al: 0.000 0.500 0.000
Al: 0.500 0.500 0.000
Al: 0.250 0.500 0.500
Al: 0.750 0.500 0.500
Cu: 0.478 0.305 0.740
Cu: 0.522 0.695 0.260
Cu: 0.218 0.305 0.260
Cu: 0.782 0.695 0.740

Results
For the density of states at the Fermi level, the calculation gives 3.65 states/eV per cell. Its crystal system is orthorhombic.

No. 15
The following is a DFT calculation (PBE-GGA) of a geometry-optimized CaAl2Cu structure.

abc: 4.713 4.713 4.712
angles: 120.41 120.41 89.82
Positions (direct):
Ca: 0.500 0.500 0.000
Al: 0.002 0.998 0.000
Al: 0.252 0.748 0.500
Cu: 0.746 0.254 0.500

Results
For the density of states at the Fermi level, the calculation gives 1.43 states/eV per cell. Its crystal system is monoclinic.

No. 16
The following is a DFT calculation (PBE-GGA) of a geometry-optimized CaAl2Cu2 structure.

abc: 7.714 7.714 2.751
angles: 90.00 90.00 90.00
Positions (direct):
Ca: 0.000 0.000 0.000
Ca: 0.500 0.500 0.000
Al: 0.372 0.872 0.000
Al: 0.872 0.628 0.000
Al: 0.628 0.128 0.000
Al: 0.128 0.372 0.000
Cu: 0.165 0.665 0.500
Cu: 0.665 0.835 0.500
Cu: 0.835 0.335 0.500
Cu: 0.335 0.165 0.500

Results
For the density of states at the Fermi level, the calculation gives 4.01 states/eV per cell. Its crystal system is tetragonal.

No. 17
The following is a DFT calculation (PBE-GGA) of a geometry-optimized CaAl4Cu2 structure.

abc: 4.083 7.140 16.987
angles: 90.00 90.00 90.00
Positions (direct):
Ca: 0.750 0.984 0.618
Ca: 0.250 0.016 0.382
Ca: 0.250 0.484 0.882
Ca: 0.750 0.516 0.118
Al: 0.250 0.280 0.699
Al: 0.750 0.720 0.301
Al: 0.750 0.780 0.801
Al: 0.250 0.220 0.199
Al: 0.250 0.661 0.691
Al: 0.750 0.339 0.309
Al: 0.750 0.161 0.809
Al: 0.250 0.839 0.191
Al: 0.250 0.272 0.538
Al: 0.750 0.728 0.462
Al: 0.750 0.772 0.962
Al: 0.250 0.228 0.038
Al: 0.250 0.504 0.404
Al: 0.750 0.496 0.596
Al: 0.750 0.004 0.096
Al: 0.250 0.996 0.904
Cu: 0.250 0.672 0.540
Cu: 0.750 0.328 0.460
Cu: 0.750 0.172 0.960
Cu: 0.250 0.828 0.040
Cu: 0.250 0.967 0.761
Cu: 0.750 0.033 0.239
Cu: 0.750 0.467 0.739
Cu: 0.250 0.533 0.261

Results
For the density of states at the Fermi level, the calculation gives 9.24 states/eV per cell. Its crystal system is orthorhombic.

No. 18
The following is a DFT calculation (PBE-GGA) of a geometry-optimized Ca4Al3Cu structure.

abc: 4.188 4.460 11.593
angles: 90.00 90.00 90.00
Positions (direct):
Ca: 0.500 0.500 0.348
Ca: 0.000 0.500 0.859
Ca: 0.000 0.000 0.146
Ca: 0.500 0.000 0.651
Al: 0.000 0.500 0.565
Al: 0.000 0.000 0.434
Al: 0.500 0.000 0.946
Cu: 0.500 0.500 0.050

Results
For the density of states at the Fermi level, the calculation gives 4.61 states/eV per cell. Its crystal system is orthorhombic.

No. 19
The following is a DFT calculation (PBE-GGA) of a geometry-optimized CaAl12Cu4 structure.

abc: 7.470 7.470 7.470
angles: 109.47 109.47 109.47
Positions (direct):
Ca: 0.000 0.000 0.000
Al: 0.834 0.341 0.176
Al: 0.341 0.507 0.166
Al: 0.824 0.166 0.659
Al: 0.341 0.176 0.834
Al: 0.176 0.834 0.341
Al: 0.659 0.493 0.834
Al: 0.507 0.166 0.341
Al: 0.493 0.834 0.659
Al: 0.659 0.824 0.166
Al: 0.834 0.659 0.493
Al: 0.166 0.341 0.507
Al: 0.166 0.659 0.824
Cu: 0.000 0.500 0.000
Cu: 0.500 0.000 0.000
Cu: 0.500 0.500 0.500
Cu: 0.000 0.000 0.500

Results
For the density of states at the Fermi level, the calculation gives 10.36 states/eV per cell. Its crystal system is cubic.

No. 20
The following is a DFT calculation (PBE-GGA) of a geometry-optimized CaAl8Cu4 structure.

abc: 6.774 6.774 6.774
angles: 98.24 98.24 135.51
Positions (direct):
Al: 0.000 0.652 0.652
Al: 0.000 0.348 0.348
Al: 0.348 0.000 0.348
Al: 0.652 0.000 0.652
Al: 0.500 0.720 0.220
Al: 0.500 0.280 0.780
Al: 0.280 0.500 0.780
Al: 0.720 0.500 0.220
Ca: 0.000 0.000 0.000
Cu: 0.000 0.500 0.000
Cu: 0.500 0.000 0.000
Cu: 0.000 0.000 0.500
Cu: 0.500 0.500 0.500

Results
For the density of states at the Fermi level, the calculation gives 3.89 states/eV per cell. Its crystal system is tetragonal.

Number 1: DFT formation energy -204 meV/atom. Number 2: DFT formation energy -181 meV/atom. Number 3: DFT formation energy -231 meV/atom. Number 4: DFT formation energy -290 meV/atom. Number 5: DFT formation energy -151 meV/atom. Number 6: DFT formation energy 36 meV/atom. Number 7: DFT formation energy -179 meV/atom. Number 8: DFT formation energy -206 meV/atom. Number 9: DFT formation energy -51 meV/atom. Number 10: DFT formation energy -259 meV/atom. Number 11: DFT formation energy -26 meV/atom. Number 12: DFT formation energy -221 meV/atom. Number 13: DFT formation energy -91 meV/atom. Number 14: DFT formation energy -251 meV/atom. Number 15: DFT formation energy -89 meV/atom. Number 16: DFT formation energy -108 meV/atom. Number 17: DFT formation energy -280 meV/atom. Number 18: DFT formation energy -194 meV/atom. Number 19: DFT formation energy 106 meV/atom. Number 20: DFT formation energy -261 meV/atom.